{"formula": "Cd3PbCl", "functional": "SCAN", "state": "single point on PBEsol structure", "cell": [[5.261, 0.000, 0.000], [0.000, 5.261, 0.000], [0.000, 0.000, 5.261]], "species": ["Cd", "Cd", "Cd", "Pb", "Cl"], "frac_coords": [[0.000, 0.000, 0.500], [0.000, 0.500, 0.000], [0.500, 0.000, 0.000], [0.500, 0.500, 0.500], [0.000, 0.000, 0.000]], "de_polymorph_ev_per_fu": 1.64, "crystal_system": "cubic"}


{"formula": "Cd2PbCl", "functional": "SCAN", "state": "single point on PBEsol structure", "cell": [[-1.612, 2.555, 5.875], [1.612, -2.555, 5.875], [1.612, 2.555, -5.875]], "species": ["Cd", "Cd", "Pb", "Cl"], "frac_coords": [[0.242, 0.242, 0.000], [0.758, 0.758, 0.000], [0.000, 0.500, 0.500], [0.500, 0.000, 0.500]], "de_polymorph_ev_per_fu": 0.00, "crystal_system": "orthorhombic"}


{"formula": "Cd2PbCl", "functional": "SCAN", "state": "single point on PBEsol structure", "cell": [[1.833, -2.859, 0.000], [1.833, 2.859, 0.000], [0.000, 0.000, 9.371]], "species": ["Cd", "Cd", "Pb", "Cl"], "frac_coords": [[0.000, 0.000, 0.226], [0.000, 0.000, 0.774], [0.500, 0.500, 0.500], [0.500, 0.500, 0.000]], "de_polymorph_ev_per_fu": 0.03, "crystal_system": "orthorhombic"}


Taking the records one at a time from the top gives raw formation energy values of 340 -238 -231 meV/atom.